DFT (meta-GGA SCAN) results for a PBEsol-optimized structure of Zr7P4.

The formation energy is -123.4 kJ per mole of atoms. The mass density comes out at 6.370 g/cm³. Its density of states at the Fermi level is 0.5417 states/eV per atom. The value obtained for the total moment is 0.00 μB/cell. The calculation puts the calculated volume at 18.07 A^3/atom.

The space group is C2/m (No. 12) and the conventional cell measures 15.675, 3.582 and 14.653 Å, with angles of 90.00, 104.87 and 90.00 degrees. Symmetry generates all atoms from Zr at (0.000, 0.000, 0.000), Zr at (0.000, 0.500, 0.500), Zr at (0.004, 0.000, 0.666), Zr at (0.068, 0.500, 0.167), Zr at (0.160, 0.500, 0.969), Zr at (0.177, 0.000, 0.543), Zr at (0.195, 0.000, 0.309), Zr at (0.205, 0.000, 0.796), P at (0.063, 0.000, 0.852), P at (0.127, 0.500, 0.400), P at (0.131, 0.500, 0.660) and P at (0.177, 0.000, 0.111).


DFT (meta-GGA SCAN) results for a PBEsol-optimized structure of ScHRh3.

The value obtained for the relative energy among the computed polymorphs is 11.449 eV/f.u. The mass density comes out at 6.106 g/cm³. Its density of states at the Fermi level is 1.2604 states/eV per atom. The value obtained for the total moment is 2.49 μB/cell. The calculation puts the calculated volume at 19.29 A^3/atom.

The space group is Pm-3m (No. 221) and the conventional cell measures 4.586, 4.586 and 4.586 Å, with angles of 90.00, 90.00 and 90.00 degrees. Symmetry generates all atoms from Sc at (0.000, 0.000, 0.000), H at (0.500, 0.500, 0.500) and Rh at (0.000, 0.000, 0.500).